Record 1
{
  "formula": "GdLuOsRu",
  "functional": "GGA-PBE",
  "state": "relaxed",
  "lattice": [[0.000, 3.382, 3.382], [3.382, 0.000, 3.382], [3.382, 3.382, 0.000]],
  "species": ["Gd", "Lu", "Os", "Ru"],
  "frac_coords": [[0.000, 0.000, 0.000], [0.500, 0.500, 0.500], [0.750, 0.750, 0.750], [0.250, 0.250, 0.250]],
  "n_ef_per_ev_atom": 0.9543,
  "mass_density_g_cm3": 13.38,
  "spacegroup": "F-43m (216)",
  "ef_ev_per_atom": -0.209,
  "total_magnetization_mub_per_fu": 6.932
}

---

Record 2
{
  "formula": "PmGaBIr2",
  "functional": "GGA-PBE",
  "state": "relaxed",
  "lattice": [[2.045, -5.637, 0.000], [2.045, 5.637, 0.000], [0.000, 0.000, 7.398]],
  "species": ["Pm", "Pm", "Ga", "Ga", "B", "B", "Ir", "Ir", "Ir", "Ir"],
  "frac_coords": [[0.052, 0.948, 0.750], [0.948, 0.052, 0.250], [0.229, 0.771, 0.250], [0.771, 0.229, 0.750], [0.500, 0.500, 0.000], [0.500, 0.500, 0.500], [0.334, 0.666, 0.560], [0.334, 0.666, 0.940], [0.666, 0.334, 0.060], [0.666, 0.334, 0.440]],
  "n_ef_per_ev_atom": 0.5694,
  "mass_density_g_cm3": 11.87,
  "spacegroup": "Cmcm (63)",
  "ef_ev_per_atom": -0.664,
  "total_magnetization_mub_per_fu": 0.000
}

---

Record 3
{
  "formula": "TmPuInTc",
  "functional": "GGA-PBE",
  "state": "relaxed",
  "lattice": [[0.000, 3.558, 3.558], [3.558, 0.000, 3.558], [3.558, 3.558, 0.000]],
  "species": ["Tm", "Pu", "In", "Tc"],
  "frac_coords": [[0.000, 0.000, 0.000], [0.500, 0.500, 0.500], [0.250, 0.250, 0.250], [0.750, 0.750, 0.750]],
  "n_ef_per_ev_atom": 2.5818,
  "mass_density_g_cm3": 11.54,
  "spacegroup": "F-43m (216)",
  "ef_ev_per_atom": 0.024,
  "total_magnetization_mub_per_fu": 4.851
}

---

Record 4
{
  "formula": "LiPmPu",
  "functional": "GGA-PBE",
  "state": "relaxed",
  "lattice": [[3.390, 0.000, 0.000], [0.000, 5.355, 0.000], [-0.067, 0.000, 8.404]],
  "species": ["Li", "Li", "Pm", "Pm", "Pu", "Pu"],
  "frac_coords": [[0.000, 0.000, 0.000], [0.495, 0.000, 0.738], [0.503, 0.000, 0.345], [0.996, 0.500, 0.612], [0.006, 0.500, 0.210], [0.501, 0.500, 0.991]],
  "n_ef_per_ev_atom": 1.7045,
  "mass_density_g_cm3": 8.62,
  "polymorph_energy_mev_per_atom": 0,
  "spacegroup": "Pm (6)",
  "ef_ev_per_atom": 0.201,
  "total_magnetization_mub_per_fu": 0.096
}

---

Record 5
{
  "formula": "Pm6Pr8Sm",
  "functional": "GGA-PBE",
  "state": "relaxed",
  "lattice": [[4.674, 2.699, 7.065], [-4.674, 2.699, 7.065], [0.000, -5.398, 7.065]],
  "species": ["Pm", "Pm", "Pm", "Pm", "Pm", "Pm", "Pr", "Pr", "Pr", "Pr", "Pr", "Pr", "Pr", "Pr", "Sm"],
  "frac_coords": [[0.039, 0.743, 0.598], [0.257, 0.402, 0.961], [0.402, 0.961, 0.257], [0.598, 0.039, 0.743], [0.743, 0.598, 0.039], [0.961, 0.257, 0.402], [0.078, 0.078, 0.078], [0.216, 0.250, 0.613], [0.250, 0.613, 0.216], [0.387, 0.784, 0.750], [0.613, 0.216, 0.250], [0.750, 0.387, 0.784], [0.784, 0.750, 0.387], [0.922, 0.922, 0.922], [0.500, 0.500, 0.500]],
  "n_ef_per_ev_atom": 1.4882,
  "mass_density_g_cm3": 6.67,
  "spacegroup": "R-3 (148)",
  "ef_ev_per_atom": 0.112,
  "total_magnetization_mub_per_fu": 0.000
}

---

Record 6
{
  "formula": "CsCo3Cu",
  "functional": "GGA-PBE",
  "state": "relaxed",
  "lattice": [[4.661, 0.000, 0.000], [0.000, 4.661, 0.000], [0.000, 0.000, 4.661]],
  "species": ["Cs", "Co", "Co", "Co", "Cu"],
  "frac_coords": [[0.000, 0.000, 0.000], [0.000, 0.000, 0.500], [0.000, 0.500, 0.000], [0.500, 0.000, 0.000], [0.500, 0.500, 0.500]],
  "n_ef_per_ev_atom": 1.2185,
  "mass_density_g_cm3": 6.12,
  "spacegroup": "Pm-3m (221)",
  "ef_ev_per_atom": 2.594,
  "total_magnetization_mub_per_fu": 1.826
}

---

Record 7
{
  "formula": "NbPd4Au5",
  "functional": "GGA-PBE",
  "state": "relaxed",
  "lattice": [[7.158, -2.027, 0.000], [7.158, 2.027, 0.000], [-3.572, 0.000, 6.217]],
  "species": ["Nb", "Pd", "Pd", "Pd", "Pd", "Au", "Au", "Au", "Au", "Au"],
  "frac_coords": [[0.000, 0.000, 0.000], [0.174, 0.174, 0.410], [0.480, 0.480, 0.743], [0.520, 0.520, 0.257], [0.826, 0.826, 0.590], [0.000, 0.000, 0.500], [0.327, 0.327, 0.883], [0.333, 0.333, 0.289], [0.667, 0.667, 0.711], [0.673, 0.673, 0.117]],
  "n_ef_per_ev_atom": 0.4949,
  "mass_density_g_cm3": 13.84,
  "spacegroup": "C2/m (12)",
  "ef_ev_per_atom": -0.036,
  "total_magnetization_mub_per_fu": 0.000
}

---

Record 8
{
  "formula": "CsCeH6Pt2",
  "functional": "GGA-PBE",
  "state": "relaxed",
  "lattice": [[4.648, -4.660, 0.000], [4.648, 4.660, 0.000], [-3.069, 0.000, 7.290]],
  "species": ["Cs", "Cs", "Ce", "Ce", "H", "H", "H", "H", "H", "H", "H", "H", "H", "H", "H", "H", "Pt", "Pt", "Pt", "Pt"],
  "frac_coords": [[0.095, 0.905, 0.750], [0.905, 0.095, 0.250], [0.436, 0.564, 0.250], [0.564, 0.436, 0.750], [0.100, 0.708, 0.230], [0.180, 0.361, 0.674], [0.292, 0.900, 0.270], [0.333, 0.624, 0.957], [0.361, 0.180, 0.174], [0.376, 0.667, 0.543], [0.624, 0.333, 0.457], [0.639, 0.820, 0.826], [0.667, 0.376, 0.043], [0.708, 0.100, 0.730], [0.820, 0.639, 0.326], [0.900, 0.292, 0.770], [0.110, 0.455, 0.867], [0.455, 0.110, 0.367], [0.545, 0.890, 0.633], [0.890, 0.545, 0.133]],
  "n_ef_per_ev_atom": 0.7521,
  "mass_density_g_cm3": 7.04,
  "spacegroup": "C2/c (15)",
  "total_energy_ev_per_atom": -4.259,
  "total_magnetization_mub_per_fu": 1.005
}

---

Record 9
{
  "formula": "CsRbC3",
  "functional": "GGA-PBE",
  "state": "relaxed",
  "lattice": [[5.256, 0.000, 0.000], [0.000, 5.256, 0.000], [0.000, 0.000, 5.256]],
  "species": ["Cs", "Rb", "C", "C", "C"],
  "frac_coords": [[0.000, 0.000, 0.000], [0.500, 0.500, 0.500], [0.000, 0.000, 0.500], [0.000, 0.500, 0.000], [0.500, 0.000, 0.000]],
  "n_ef_per_ev_atom": 0.4602,
  "mass_density_g_cm3": 2.91,
  "polymorph_energy_mev_per_atom": 158,
  "spacegroup": "Pm-3m (221)",
  "ef_ev_per_atom": 3.501,
  "total_magnetization_mub_per_fu": 7.193
}

---

Record 10
{
  "formula": "Pm2Dy3Ga4",
  "functional": "GGA-PBE",
  "state": "relaxed",
  "lattice": [[3.452, -7.912, 0.000], [3.452, 7.912, 0.000], [0.000, 0.000, 8.588]],
  "species": ["Pm", "Pm", "Pm", "Pm", "Dy", "Dy", "Dy", "Dy", "Dy", "Dy", "Ga", "Ga", "Ga", "Ga", "Ga", "Ga", "Ga", "Ga"],
  "frac_coords": [[0.107, 0.893, 0.920], [0.393, 0.607, 0.420], [0.607, 0.393, 0.580], [0.893, 0.107, 0.080], [0.000, 0.000, 0.500], [0.034, 0.466, 0.750], [0.466, 0.034, 0.250], [0.500, 0.500, 0.000], [0.534, 0.966, 0.750], [0.966, 0.534, 0.250], [0.186, 0.814, 0.541], [0.218, 0.282, 0.750], [0.282, 0.218, 0.250], [0.314, 0.686, 0.041], [0.686, 0.314, 0.959], [0.718, 0.782, 0.750], [0.782, 0.718, 0.250], [0.814, 0.186, 0.459]],
  "n_ef_per_ev_atom": 0.6946,
  "mass_density_g_cm3": 7.48,
  "polymorph_energy_mev_per_atom": 155,
  "spacegroup": "Cmce (64)",
  "ef_ev_per_atom": -0.421,
  "total_magnetization_mub_per_fu": 0.000
}

---

Record 11
{
  "formula": "CdSi4Pt",
  "functional": "GGA-PBE",
  "state": "relaxed",
  "lattice": [[0.000, 3.665, 3.665], [3.665, 0.000, 3.665], [3.665, 3.665, 0.000]],
  "species": ["Cd", "Si", "Si", "Si", "Si", "Pt"],
  "frac_coords": [[0.000, 0.000, 0.000], [0.375, 0.375, 0.375], [0.375, 0.375, 0.874], [0.375, 0.874, 0.375], [0.874, 0.375, 0.375], [0.750, 0.750, 0.750]],
  "n_ef_per_ev_atom": 0.5346,
  "mass_density_g_cm3": 7.08,
  "spacegroup": "F-43m (216)",
  "formation_energy_uncorrected_ev_per_atom": 0.46,
  "total_magnetization_mub_per_fu": 0.000
}

---

Record 12
{
  "formula": "YSc5In4",
  "functional": "GGA-PBE",
  "state": "relaxed",
  "lattice": [[3.372, 0.000, 0.000], [0.000, 3.372, 0.000], [0.000, 0.000, 20.840]],
  "species": ["Y", "Sc", "Sc", "Sc", "Sc", "Sc", "In", "In", "In", "In"],
  "frac_coords": [[0.000, 0.000, 0.000], [0.500, 0.500, 0.116], [0.500, 0.500, 0.307], [0.500, 0.500, 0.500], [0.500, 0.500, 0.693], [0.500, 0.500, 0.884], [0.000, 0.000, 0.211], [0.000, 0.000, 0.403], [0.000, 0.000, 0.597], [0.000, 0.000, 0.789]],
  "n_ef_per_ev_atom": 0.7608,
  "mass_density_g_cm3": 5.42,
  "spacegroup": "P4/mmm (123)",
  "ef_ev_per_atom": -0.341,
  "total_magnetization_mub_per_fu": 0.074
}